DFT (GGA-PBE) results for a geometry-optimized TeIr2O structure.

Structure (POSCAR):
```
TeIr2O
1.0
4.755 0.000 0.000
0.000 4.755 0.000
2.378 2.378 6.350
Ir Te O
4 2 2
direct
0.492 0.125 0.250
0.258 0.625 0.250
0.375 0.508 0.750
0.875 0.742 0.750
0.000 0.000 0.000
0.750 0.250 0.500
0.500 0.500 0.000
0.250 0.750 0.500
```

Output
* excess energy over the best structure of this formula in the dataset: 0.0000 eV per atom
* Fermi-level density of states: 3.85 states/eV/cell